# LiCe2Tl3 | the Alexandria database | PBE-GGA | optimized geometry
data_LiCe2Tl3
_cell_length_a 5.3114
_cell_length_b 5.3114
_cell_length_c 6.7553
_cell_angle_alpha 90.00
_cell_angle_beta 90.00
_cell_angle_gamma 120.00
_symmetry_space_group_name_H-M 'P -3 m 1'
_symmetry_Int_Tables_number 164
_symmetry_space_group_name_Hall '-P 3 2"'
loop_
_atom_site_label
_atom_site_type_symbol
_atom_site_fract_x
_atom_site_fract_y
_atom_site_fract_z
Li1 Li 0.0000 0.0000 0.0000
Ce1 Ce 0.3333 0.6667 0.6886
Tl1 Tl 0.0000 0.0000 0.5000
Tl2 Tl 0.3333 0.6667 0.1623
# Energy above the lowest structure with this stoichiometry (eV per atom): 0.0000
# ΔH_f (0 K) (eV/atom): -0.237
# Crystal system: trigonal
# ρ (Mg/m³): 9.058